No. 1
VASP calculation (PBE) on crystalline MnAsSe2 at its relaxed geometry.

Structure (extended XYZ):
```
4
Lattice="-2.998 3.475 -1.399 0.320 -1.356 -4.054 -3.088 -2.905 -0.599" Properties=species:S:1:pos:R:3 pbc="T T T"
Mn -3.467 -1.294 -4.010
Se -2.569 -3.956 -4.320
As -1.529 -2.351 -2.564
Se -2.353 0.422 -2.137
```

Results
Calculated volume (A^3/atom): 21.05
Formation energy without anion corrections (eV per atom): -0.0138
Space-group type: Amm2

No. 2
VASP calculation (PBE) on crystalline TbCe3Pu2S6 at its relaxed geometry.

Structure (extended XYZ):
```
12
Lattice="6.888 -0.002 0.000 -3.444 5.965 0.000 -1.149 -1.989 6.524" Properties=species:S:1:pos:R:3 pbc="T T T"
Ce 1.147 1.987 3.262
S 0.001 3.975 4.948
Ce -2.295 3.975 3.262
Tb 0.000 0.000 0.000
S -0.002 -0.003 4.943
S -1.147 1.986 1.576
Ce 4.590 -0.002 3.262
S 2.297 3.977 1.581
S 3.442 1.987 4.948
S 2.294 -0.001 1.576
Pu 3.442 1.988 0.000
Pu 0.002 3.975 0.000
```

Results
Calculated volume (A^3/atom): 22.33
Formation energy without anion corrections (eV per atom): -1.9533
Space-group type: C2/m

No. 3
VASP calculation (PBE) on crystalline Tl6In2Bi at its relaxed geometry.

Structure (extended XYZ):
```
9
Lattice="-2.460 -2.605 -0.190 2.428 0.369 -2.616 15.356 -15.387 12.081" Properties=species:S:1:pos:R:3 pbc="T T T"
In 9.411 -11.875 7.058
In 4.284 -6.739 3.025
Bi 0.799 -0.622 -1.807
Tl 12.632 -12.479 7.502
Tl 4.322 -4.152 0.964
Tl 7.501 -7.338 3.466
Tl 0.916 -3.364 0.375
Tl 12.779 -15.250 9.708
Tl 9.452 -9.293 5.000
```

Results
Calculated volume (A^3/atom): 30.81
Space-group type: P-6m2
DFT formation energy (eV/atom): 0.024

No. 4
VASP calculation (PBE) on crystalline Na5Zr3O12 at its relaxed geometry.

Structure (extended XYZ):
```
80
Lattice="11.162 0.000 0.000 -3.721 10.523 0.000 -3.721 -5.262 9.114" Properties=species:S:1:pos:R:3 pbc="T T T"
O 1.957 3.933 0.914
Na 4.651 -3.289 7.974
O 5.480 2.643 3.191
Na -0.930 8.550 1.139
Na 3.721 5.262 0.000
O 3.821 1.454 5.250
O 7.542 1.189 0.672
Na -0.930 0.658 5.696
O -1.195 -2.892 6.837
Na -1.860 5.262 0.000
O -1.763 -0.127 7.505
Na 0.930 3.289 7.974
Na -0.930 2.631 2.278
Na 0.000 0.000 0.000
O 3.253 -0.926 2.949
Zr 4.651 0.658 3.418
Zr 2.790 5.919 5.696
Na 6.511 -0.658 5.696
O 4.188 4.721 6.833
O -4.386 2.892 6.837
O 2.526 4.736 3.642
O 2.328 0.926 2.949
O -0.665 5.787 3.642
Zr -0.930 4.604 5.696
O -0.097 3.805 0.694
O 7.341 -2.619 5.923
O -0.097 6.591 0.914
O -3.055 8.679 1.366
Zr -2.790 1.973 7.974
Na 3.721 -2.631 4.557
O 0.468 6.188 6.165
Na 2.790 1.973 1.139
O -0.468 0.540 2.281
Na 2.790 7.893 2.278
Na 1.860 2.631 4.557
O 4.386 -0.526 5.471
O 1.393 4.336 6.165
O 1.763 -1.456 8.420
Na 0.930 -2.631 6.835
O 1.957 6.718 0.694
O 5.113 5.647 5.229
Zr 6.511 3.289 1.139
O -1.760 2.619 5.923
O -1.195 3.417 7.748
O 8.106 2.370 2.276
O 6.974 0.386 3.884
O 4.916 1.845 1.366
Na -2.790 5.919 3.418
O 1.195 0.526 5.471
O -1.760 -4.073 8.441
Na 4.651 2.631 6.835
O -3.818 0.127 7.505
O 4.916 8.153 2.276
O -3.620 7.880 3.191
Na 5.581 0.000 0.000
Zr 6.511 7.235 1.139
O -1.393 -0.386 3.884
O -3.821 4.073 8.441
O 1.961 6.716 3.863
O 6.776 -3.417 7.748
Na -3.721 2.631 4.557
Zr 0.930 -0.658 3.418
Zr 2.790 0.000 6.835
O 1.760 -1.454 5.250
Na -1.860 -2.631 4.557
O 6.048 -0.540 2.281
O 3.818 1.456 8.420
Zr -2.790 -1.973 7.974
Na 4.651 4.604 3.418
O 5.480 9.334 0.672
O 7.538 5.134 1.608
O 3.818 -1.329 8.199
O -3.253 4.876 5.229
O -0.101 3.808 3.863
Zr -4.651 5.262 6.835
O -2.328 5.802 6.833
O 5.484 5.389 1.608
Zr 8.371 0.000 2.278
O 1.763 1.329 8.199
Zr 0.930 5.262 2.278
```

Results
Calculated volume (A^3/atom): 13.38
Formation energy without anion corrections (eV per atom): -1.6798
Space-group type: Ia-3d

No. 5
VASP calculation (PBE) on crystalline SbMoRu4 at its relaxed geometry.

Structure (extended XYZ):
```
6
Lattice="0.000 3.630 3.630 3.630 0.000 3.630 3.630 3.630 0.000" Properties=species:S:1:pos:R:3 pbc="T T T"
Ru 2.721 4.540 4.540
Sb 5.445 5.445 5.445
Ru 4.540 2.721 4.540
Ru 2.721 2.721 2.721
Mo 0.000 0.000 0.000
Ru 4.540 4.540 2.721
```

Results
Calculated volume (A^3/atom): 15.95
Formation energy without anion corrections (eV per atom): 0.4945
Space-group type: F-43m

No. 6
VASP calculation (PBE) on crystalline CoSb3 at its relaxed geometry.

Structure (extended XYZ):
```
8
Lattice="5.109 0.000 0.000 0.000 5.580 -3.222 0.000 0.000 6.443" Properties=species:S:1:pos:R:3 pbc="T T T"
Sb 4.976 0.000 4.327
Co 3.699 1.860 3.222
Sb 2.422 3.747 2.163
Co 1.144 3.720 0.000
Sb 4.976 3.747 4.280
Sb 2.422 1.833 -1.058
Sb 2.422 5.580 -1.105
Sb 4.976 1.833 1.059
```

Results
Calculated volume (A^3/atom): 22.96
Formation energy without anion corrections (eV per atom): 0.0003
Space-group type: P6_322

No. 7
VASP calculation (PBE) on crystalline ErSc2Cd at its relaxed geometry.

Structure (extended XYZ):
```
4
Lattice="-1.508 1.929 2.363 -1.318 -1.442 2.786 8.024 1.273 6.530" Properties=species:S:1:pos:R:3 pbc="T T T"
Sc 1.158 0.423 2.844
Sc 5.923 1.013 5.402
Er 2.593 0.879 5.837
Cd -1.876 0.326 3.437
```

Results
Calculated volume (A^3/atom): 25.66
Space-group type: R3m
DFT formation energy (eV/atom): -0.040

No. 8
VASP calculation (PBE) on crystalline PdWCl2 at its relaxed geometry.

Structure (extended XYZ):
```
8
Lattice="4.262 0.000 0.000 0.000 4.262 0.000 2.131 2.131 7.893" Properties=species:S:1:pos:R:3 pbc="T T T"
Pd 2.131 4.262 3.947
W 0.000 0.000 0.000
W 4.262 2.131 3.947
Cl 3.308 1.065 1.973
Pd 2.131 2.131 0.000
Cl 0.954 3.196 1.973
Cl 5.327 5.439 5.920
Cl 3.196 3.085 5.920
```

Results
Calculated volume (A^3/atom): 17.92
Formation energy without anion corrections (eV per atom): 0.6322
Space-group type: I-42d

No. 9
VASP calculation (PBE) on crystalline Be3TeN at its relaxed geometry.

Structure (extended XYZ):
```
5
Lattice="4.564 0.000 0.000 0.000 4.564 0.000 0.000 0.000 4.564" Properties=species:S:1:pos:R:3 pbc="T T T"
Be 0.000 0.000 2.282
Te 0.000 0.000 0.000
N 2.282 2.282 2.282
Be 0.000 2.282 0.000
Be 2.282 0.000 0.000
```

Results
Calculated volume (A^3/atom): 19.02
Formation energy without anion corrections (eV per atom): 2.2337
Space-group type: Pm-3m

No. 10
VASP calculation (PBE) on crystalline KZr2Ru at its relaxed geometry.

Structure (extended XYZ):
```
4
Lattice="4.101 -0.031 -0.007 2.224 3.446 -0.007 2.214 1.196 8.988" Properties=species:S:1:pos:R:3 pbc="T T T"
Zr 6.380 3.444 7.806
K 4.353 2.350 4.498
Ru 4.294 2.318 8.981
Zr 6.319 3.412 1.152
```

Results
Calculated volume (A^3/atom): 31.92
Space-group type: Cm
DFT formation energy (eV/atom): 0.204

No. 11
VASP calculation (PBE) on crystalline PrSmHgRu at its relaxed geometry.

Structure (extended XYZ):
```
4
Lattice="5.183 0.000 0.000 2.591 4.489 0.000 2.591 1.496 4.232" Properties=species:S:1:pos:R:3 pbc="T T T"
Sm 7.774 4.489 3.174
Ru 5.183 2.992 2.116
Hg 0.000 0.000 0.000
Pr 2.591 1.496 1.058
```

Results
Calculated volume (A^3/atom): 24.61
Space-group type: F-43m
DFT formation energy (eV/atom): -0.246

No. 12
VASP calculation (PBE) on crystalline Tb5Pm2Nd4 at its relaxed geometry.

Structure (extended XYZ):
```
11
Lattice="6.847 0.000 0.000 3.423 5.737 -0.165 3.423 0.411 9.662" Properties=species:S:1:pos:R:3 pbc="T T T"
Nd 3.423 1.442 1.866
Pm 6.847 1.561 2.181
Tb 3.423 3.074 4.748
Tb 8.590 4.331 0.974
Tb 8.590 1.818 8.522
Nd 6.847 1.262 5.423
Tb 5.104 1.818 8.522
Pm 6.847 4.588 7.316
Tb 5.104 4.331 0.974
Nd 10.270 4.706 7.630
Nd 6.847 4.887 4.073
```

Results
Calculated volume (A^3/atom): 34.55
Space-group type: C2/m
DFT formation energy (eV/atom): 0.172